11
Lattice="4.494 0.000 -1.365 -0.715 6.195 -2.355 0.316 0.968 9.122" Properties=species:S:1:pos:R:3 comment="Ce2Cd8Ag | Alexandria | PBE | relaxed" m_tot_mub_per_fu=1.95 rho_g_cm3=8.0 delta_e_f_mev_per_atom=-107 dos_at_fermi_per_ev_cell=17.41 pbc="T T T"
Ce 3.458 2.453 3.306
Cd -0.414 4.543 -1.364
Cd 3.473 5.898 3.356
Cd 1.631 4.395 5.372
Cd 2.329 5.656 -0.413
Ce 0.637 4.711 2.096
Cd 0.621 1.265 2.047
Cd 2.463 2.768 0.031
Cd 4.509 2.620 6.767
Cd 1.766 1.508 5.816
Ag 2.247 0.000 -0.682